Entry 1:
Entry from Alexandria via LeMat-Bulk: a crystal of BeTeHN2 relaxed with PBEsol (SCAN).

Space-group type: P4/mmm

a b c (Å): 3.3671 3.9155 3.9155
angles (deg): 90.00 90.00 90.00
Last column: nearest neighbours and their distance in Å.
Atoms (fractional coordinates):
Be (0.5000, 0.5000, 0.5000)  8 N 2.58, 4 Te 2.77
N (0.0000, 0.0000, 0.5000)  2 H 1.96
N (0.0000, 0.5000, 0.0000)  2 H 1.96
Te (0.5000, 0.0000, 0.0000)  2 H 1.68
H (0.0000, 0.0000, 0.0000)  2 Te 1.68

***

Entry 2:
Entry from Alexandria via LeMat-Bulk: a crystal of Na2BeH4 relaxed with PBEsol (SCAN).

Space-group type: P2_1/m

a b c (Å): 4.8776 4.9496 6.6190
angles (deg): 102.93 90.00 90.00
Last column: nearest neighbours and their distance in Å.
Atoms (fractional coordinates):
Na (0.7500, 0.7231, 0.0316)  8 H 2.30-2.51
Na (0.2500, 0.2769, 0.9684)  8 H 2.30-2.51
Na (0.2500, 0.2365, 0.4531)  5 H 2.28-2.38
Na (0.7500, 0.7635, 0.5469)  5 H 2.28-2.38
Be (0.7500, 0.2894, 0.2176)  4 H 1.43-1.45
Be (0.2500, 0.7106, 0.7824)  4 H 1.43-1.45
H (0.2500, 0.9207, 0.6605)  1 Be 1.45
H (0.2500, 0.8242, 0.0030)  1 Be 1.44
H (0.4835, 0.5320, 0.7343)  1 Be 1.43
H (0.7500, 0.0793, 0.3395)  1 Be 1.45
H (0.0165, 0.5320, 0.7343)  1 Be 1.43
H (0.9835, 0.4680, 0.2657)  1 Be 1.43
H (0.5165, 0.4680, 0.2657)  1 Be 1.43
H (0.7500, 0.1758, 0.9970)  1 Be 1.44

***

Entry 3:
Entry from Alexandria via LeMat-Bulk: a crystal of NaBeH3 relaxed with PBEsol (SCAN).

Space-group type: Pm-3m

a b c (Å): 3.6593 3.6593 3.6593
angles (deg): 90.00 90.00 90.00
Last column: nearest neighbours and their distance in Å.
Atoms (fractional coordinates):
Na (0.0000, 0.0000, 0.0000)  6 H 1.83
Be (0.5000, 0.5000, 0.5000)  12 H 2.59
H (0.0000, 0.5000, 0.0000)  2 Na 1.83
H (0.0000, 0.0000, 0.5000)  2 Na 1.83
H (0.5000, 0.0000, 0.0000)  2 Na 1.83

***

Entry 4:
Entry from Alexandria via LeMat-Bulk: a crystal of NaBeSn2H relaxed with PBEsol (SCAN).

Space-group type: P4/mmm

a b c (Å): 4.2013 4.5758 4.5758
angles (deg): 90.00 90.00 90.00
Last column: nearest neighbours and their distance in Å.
Atoms (fractional coordinates):
Na (0.5000, 0.0000, 0.0000)  2 H 2.10
Sn (0.0000, 0.0000, 0.5000)  2 H 2.29
Sn (0.0000, 0.5000, 0.0000)  2 H 2.29
H (0.0000, 0.0000, 0.0000)  2 Na 2.10, 4 Sn 2.29
Be (0.5000, 0.5000, 0.5000)  8 Sn 3.11, 4 Na 3.24

***

Entry 5:
Entry from Alexandria via LeMat-Bulk: a crystal of NaBeZn2H relaxed with PBEsol (SCAN).

Space-group type: P4/mmm

a b c (Å): 4.2265 4.2265 5.4064
angles (deg): 90.00 90.00 90.00
Last column: nearest neighbours and their distance in Å.
Atoms (fractional coordinates):
Na (0.0000, 0.0000, 0.5000)  2 Be 2.70, 4 H 2.99
Zn (0.0000, 0.5000, 0.0000)  2 Be 2.11
Zn (0.5000, 0.0000, 0.0000)  2 Be 2.11
H (0.5000, 0.5000, 0.5000)  4 Na 2.99
Be (0.0000, 0.0000, 0.0000)  4 Zn 2.11

***

Entry 6:
Entry from Alexandria via LeMat-Bulk: a crystal of Be3NbH relaxed with PBEsol (SCAN).

Space-group type: Pm-3m

a b c (Å): 3.5490 3.5490 3.5490
angles (deg): 90.00 90.00 90.00
Last column: nearest neighbours and their distance in Å.
Atoms (fractional coordinates):
Be (0.0000, 0.5000, 0.0000)  2 H 1.77
Be (0.0000, 0.0000, 0.5000)  2 H 1.77
Be (0.5000, 0.0000, 0.0000)  2 H 1.77
Nb (0.5000, 0.5000, 0.5000)  12 Be 2.51
H (0.0000, 0.0000, 0.0000)  6 Be 1.77

***

Entry 7:
Entry from Alexandria via LeMat-Bulk: a crystal of Be2NbH relaxed with PBEsol (SCAN).

Space-group type: Fm-3m

a b c (Å): 3.8739 3.8739 3.8739
angles (deg): 60.00 60.00 60.00
Last column: nearest neighbours and their distance in Å.
Atoms (fractional coordinates):
Be (0.2500, 0.2500, 0.2500)  4 Nb 2.37, 4 H 2.37
Be (0.7500, 0.7500, 0.7500)  4 H 2.37, 4 Nb 2.37
Nb (0.5000, 0.5000, 0.5000)  8 Be 2.37
H (0.0000, 0.0000, 0.0000)  8 Be 2.37

***

Entry 8:
Entry from Alexandria via LeMat-Bulk: a crystal of BeNbReH2 relaxed with PBEsol (SCAN).

Space-group type: P4/mmm

a b c (Å): 3.5571 3.5571 4.5346
angles (deg): 90.00 90.00 90.00
Last column: nearest neighbours and their distance in Å.
Atoms (fractional coordinates):
Re (0.0000, 0.0000, 0.5000)  2 Be 2.27, 4 Nb 2.52
Nb (0.5000, 0.5000, 0.5000)  4 Re 2.52
H (0.0000, 0.5000, 0.0000)  2 Be 1.78
H (0.5000, 0.0000, 0.0000)  2 Be 1.78
Be (0.0000, 0.0000, 0.0000)  4 H 1.78

***

Number 1: DFT total energy -53.11 eV/cell, ρ 5328 kg/m³, total moment 0.8 μB/f.u.. Number 2: DFT total energy -57.61 eV/cell, ρ 1259 kg/m³, total moment 0.0 μB/f.u.. Number 3: DFT total energy -13.11 eV/cell, ρ 1187 kg/m³, total moment 0.2 μB/f.u.. Number 4: DFT total energy -81.70 eV/cell, ρ 5105 kg/m³, total moment 0.0 μB/f.u.. Number 5: DFT total energy -35.99 eV/cell, ρ 2817 kg/m³, total moment 0.0 μB/f.u.. Number 6: DFT total energy -48.99 eV/cell, ρ 4493 kg/m³, total moment 0.0 μB/f.u.. Number 7: DFT total energy -41.49 eV/cell, ρ 4522 kg/m³, total moment 0.0 μB/f.u.. Number 8: DFT total energy -110.40 eV/cell, ρ 8397 kg/m³, total moment 0.0 μB/f.u..